This record from Alexandria via LeMat-Bulk describes a crystal of Mn3GaS relaxed with PBEsol. The functional is SCAN.

a = 4.0448 Å, b = 4.0448 Å, c = 4.0448 Å
α = 90.00°, β = 90.00°, γ = 90.00°
Last column: nearest neighbours and their distance in Å.
Element x y z (fractional)
S (0.0000, 0.0000, 0.0000)  6 Mn 2.02
Mn (0.0000, 0.5000, 0.0000)  2 S 2.02
Mn (0.0000, 0.0000, 0.5000)  2 S 2.02
Mn (0.5000, 0.0000, 0.0000)  2 S 2.02
Ga (0.5000, 0.5000, 0.5000)  12 Mn 2.86

Raw formation energy (eV/atom): 0.134